# 1
Compound: NiSnTePb2
Source: Alexandria via LeMat-Bulk
Functional: PBE-GGA
Structure: relaxed

Values from the calculation:
* energy: -15.061 eV/cell
* volume: 195 Å³/cell
* magnetization: 0.1773 μB/atom
* SG: P4/mmm (123)
* raw formation energy: 101.9 kJ per mole of atoms

The structure in extended XYZ format:
```
5
Lattice="5.8371 0.0000 0.0000 0.0000 5.8371 0.0000 0.0000 0.0000 5.7239" Properties=species:S:1:pos:R:3 pbc="T T T"
Ni 0.0000 0.0000 0.0000
Sn 2.9185 2.9185 2.8619
Te 2.9185 2.9185 0.0000
Pb 0.0000 2.9185 2.8619
Pb 2.9185 0.0000 2.8619
```

# 2
Compound: TlNiSnPb2
Source: Alexandria via LeMat-Bulk
Functional: PBE-GGA
Structure: relaxed

Values from the calculation:
* energy: -19.095 eV/cell
* volume: 140 Å³/cell
* magnetization: 0.0000 μB/atom
* SG: P4/mmm (123)

The structure in extended XYZ format:
```
5
Lattice="5.3122 0.0000 0.0000 0.0000 5.3122 0.0000 0.0000 0.0000 4.9738" Properties=species:S:1:pos:R:3 pbc="T T T"
Tl 0.0000 0.0000 0.0000
Ni 2.6561 2.6561 2.4869
Sn 2.6561 2.6561 0.0000
Pb 0.0000 2.6561 2.4869
Pb 2.6561 0.0000 2.4869
```